Sc2O: relaxed, PBE.

Lattice parameters (Å, degrees): 3.184 3.184 5.873 97.68 97.68 120.49
Sites, in units of the cell vectors:
O 0.500 0.500 0.000
Sc 0.866 0.866 0.733
Sc 0.134 0.134 0.267

Output
* calculated volume: 16.47 A^3/atom
* magnetization: 0.00 μB/cell
* electronic total energy: -22.57 eV/cell


ScO2: relaxed, PBE.

Lattice parameters (Å, degrees): 3.244 5.390 10.215 90.00 90.00 90.00
Site moments in Bohr magnetons follow the coordinates.
Sites, in units of the cell vectors:
O 0.750 0.290 0.781  0.07
Sc 0.250 0.090 0.838  -0.03
O 0.250 0.710 0.219  0.07
Sc 0.750 0.590 0.662  -0.03
O 0.750 0.210 0.281  0.07
O 0.250 0.382 0.545  0.80
O 0.750 0.618 0.455  0.80
Sc 0.750 0.910 0.162  -0.03
O 0.250 0.790 0.719  0.07
O 0.250 0.118 0.045  0.80
O 0.750 0.882 0.955  0.80
Sc 0.250 0.410 0.338  -0.03

Output
* calculated volume: 14.88 A^3/atom
* magnetization: 4.09 μB/cell
* electronic total energy: -95.84 eV/cell


ScO: relaxed, PBE.

Lattice parameters (Å, degrees): 6.529 6.529 6.529 90.00 90.00 90.00
Sites, in units of the cell vectors:
O 0.149 0.851 0.851
O 0.351 0.649 0.351
Sc 0.327 0.327 0.327
Sc 0.827 0.827 0.827
O 0.649 0.351 0.351
Sc 0.327 0.673 0.673
Sc 0.673 0.673 0.327
O 0.351 0.351 0.649
O 0.851 0.851 0.149
Sc 0.173 0.827 0.173
Sc 0.827 0.173 0.173
Sc 0.673 0.327 0.673
O 0.851 0.149 0.851
O 0.149 0.149 0.149
O 0.649 0.649 0.649
Sc 0.173 0.173 0.827

Output
* calculated volume: 17.39 A^3/atom
* magnetization: 0.00 μB/cell
* electronic total energy: -134.65 eV/cell


Sc6O5: relaxed, PBE.

Lattice parameters (Å, degrees): 5.496 5.514 5.501 120.08 99.72 70.31
Sites, in units of the cell vectors:
Sc 0.747 0.422 0.339
Sc 0.256 0.254 0.000
Sc 0.253 0.916 0.339
Sc 0.744 0.746 0.000
O 0.500 0.834 0.667
O 0.500 0.500 0.000
Sc 0.747 0.084 0.661
O 0.000 0.666 0.331
O 0.000 0.334 0.669
Sc 0.253 0.578 0.661
O 0.500 0.166 0.333

Output
* calculated volume: 12.35 A^3/atom
* magnetization: 0.00 μB/cell
* electronic total energy: -91.96 eV/cell


ScSe3O: relaxed, PBE.

Lattice parameters (Å, degrees): 5.054 5.054 5.054 90.00 90.00 90.00
Sites, in units of the cell vectors:
Se 0.000 0.500 0.000
Se 0.500 0.000 0.000
O 0.500 0.500 0.500
Se 0.000 0.000 0.500
Sc 0.000 0.000 0.000

Output
* calculated volume: 25.82 A^3/atom
* magnetization: 0.00 μB/cell
* ΔE to the lowest computed polymorph: 666 meV per atom


Sc2Se3O9: relaxed, PBE.

Lattice parameters (Å, degrees): 8.392 8.392 7.803 90.00 90.00 120.00
Sites, in units of the cell vectors:
O 0.425 0.165 0.422
O 0.260 0.425 0.922
O 0.165 0.740 0.922
O 0.575 0.835 0.922
Sc 0.667 0.333 0.955
O 0.260 0.425 0.578
O 0.868 0.489 0.750
O 0.511 0.379 0.750
Se 0.309 0.033 0.250
Se 0.967 0.276 0.250
O 0.379 0.868 0.250
O 0.740 0.575 0.422
Se 0.033 0.724 0.750
O 0.489 0.621 0.250
O 0.425 0.165 0.078
Se 0.276 0.309 0.750
O 0.132 0.511 0.250
Sc 0.667 0.333 0.545
Sc 0.333 0.667 0.045
Se 0.724 0.691 0.250
O 0.740 0.575 0.078
O 0.835 0.260 0.422
Sc 0.333 0.667 0.455
O 0.621 0.132 0.750
O 0.575 0.835 0.578
Se 0.691 0.967 0.750
O 0.835 0.260 0.078
O 0.165 0.740 0.578

Output
* calculated volume: 17.00 A^3/atom
* magnetization: 0.00 μB/cell
* electronic total energy: -186.13 eV/cell


Sc3SeO3: relaxed, PBE.

Lattice parameters (Å, degrees): 6.158 6.158 7.397 65.40 65.40 60.00
Sites, in units of the cell vectors:
Sc 0.433 0.097 0.706
Sc 0.236 0.567 0.294
Sc 0.764 0.433 0.706
Sc 0.567 0.903 0.294
O 0.126 0.448 0.630
O 0.795 0.126 0.630
O 0.448 0.795 0.630
Sc 0.097 0.764 0.706
O 0.552 0.205 0.370
Sc 0.903 0.236 0.294
Se 0.333 0.333 0.001
O 0.874 0.552 0.370
O 0.205 0.874 0.370
Se 0.667 0.667 0.999

Output
* calculated volume: 15.22 A^3/atom
* magnetization: 0.00 μB/cell
* electronic total energy: -115.30 eV/cell


ScSe2O5: relaxed, PBE.

Lattice parameters (Å, degrees): 6.250 7.762 10.266 90.00 90.00 90.00
Sites, in units of the cell vectors:
O 0.353 0.822 0.211
Se 0.031 0.148 0.361
O 0.647 0.322 0.289
O 0.353 0.678 0.711
O 0.147 0.322 0.711
Sc 0.250 0.500 0.571
Se 0.531 0.352 0.139
O 0.750 0.000 0.567
Se 0.469 0.648 0.861
O 0.451 0.864 0.929
Se 0.469 0.852 0.361
Se 0.969 0.648 0.139
O 0.250 0.500 0.933
O 0.750 0.500 0.067
Sc 0.750 0.000 0.929
Sc 0.250 0.000 0.071
Se 0.531 0.148 0.639
O 0.853 0.678 0.289
O 0.853 0.822 0.789
O 0.951 0.864 0.071
Sc 0.750 0.500 0.429
O 0.049 0.364 0.429
Se 0.031 0.352 0.861
O 0.549 0.364 0.571
O 0.951 0.636 0.571
O 0.049 0.136 0.929
Se 0.969 0.852 0.639
O 0.451 0.636 0.429
O 0.250 0.000 0.433
O 0.647 0.178 0.789
O 0.147 0.178 0.211
O 0.549 0.136 0.071

Output
* calculated volume: 15.56 A^3/atom
* magnetization: 0.00 μB/cell
* electronic total energy: -198.29 eV/cell


Sc4Se3O4: relaxed, PBE.

Lattice parameters (Å, degrees): 3.519 7.623 7.473 120.66 103.62 90.00
Sites, in units of the cell vectors:
Sc 0.795 0.295 0.590
Se 0.100 0.100 0.199
O 0.666 0.498 0.333
Sc 0.500 0.248 0.000
O 0.334 0.165 0.667
O 0.334 0.502 0.667
Se 0.000 0.500 0.000
Sc 0.205 0.705 0.410
Sc 0.500 0.752 0.000
O 0.666 0.835 0.333
Se 0.900 0.900 0.801

Output
* calculated volume: 15.08 A^3/atom
* magnetization: 0.00 μB/cell
* electronic total energy: -78.30 eV/cell


ScSe2O10: relaxed, PBE.

Lattice parameters (Å, degrees): 5.298 5.430 9.334 87.63 74.07 62.90
Site moments in Bohr magnetons follow the coordinates.
Sites, in units of the cell vectors:
O 0.244 0.216 0.935  0.03
O 0.812 0.132 0.819  0.01
O 0.445 0.279 0.637  0.29
Se 0.464 0.318 0.812  0.01
Se 0.536 0.682 0.188  0.01
O 0.756 0.784 0.065  0.03
O 0.645 0.348 0.142  0.02
O 0.188 0.868 0.181  0.01
O 0.555 0.721 0.363  0.29
Sc 0.000 0.000 0.000  0.00
O 0.355 0.652 0.858  0.02
O 0.186 0.917 0.542  1.70
O 0.814 0.083 0.458  1.70

Output
* calculated volume: 17.60 A^3/atom
* magnetization: 4.97 μB/cell
* electronic total energy: -70.69 eV/cell


Sc4SeO5: relaxed, PBE.

Lattice parameters (Å, degrees): 3.306 6.943 6.928 106.67 103.80 90.00
Sites, in units of the cell vectors:
O 0.161 0.882 0.322
O 0.500 0.500 0.000
O 0.839 0.118 0.678
Sc 0.002 0.713 0.004
Se 0.500 0.000 0.000
Sc 0.998 0.287 0.996
O 0.841 0.697 0.681
Sc 0.300 0.837 0.601
O 0.159 0.303 0.319
Sc 0.700 0.163 0.399

Output
* calculated volume: 14.75 A^3/atom
* magnetization: 0.00 μB/cell
* electronic total energy: -82.58 eV/cell


ScSe2O6: relaxed, PBE.

Lattice parameters (Å, degrees): 6.057 5.700 5.700 120.00 90.00 90.00
Sites, in units of the cell vectors:
Se 0.699 0.333 0.667
O 0.196 0.826 0.174
Se 0.301 0.667 0.333
O 0.196 0.826 0.651
O 0.804 0.651 0.826
O 0.196 0.349 0.174
Sc 0.000 0.000 0.000
O 0.804 0.174 0.349
O 0.804 0.174 0.826

Output
* calculated volume: 18.94 A^3/atom
* magnetization: 0.08 μB/cell
* electronic total energy: -55.48 eV/cell


Sc5Se4O: relaxed, PBE.

Lattice parameters (Å, degrees): 5.406 6.510 6.510 80.07 65.46 65.46
Sites, in units of the cell vectors:
Sc 0.917 0.342 0.837
Sc 0.447 0.000 0.000
Se 0.810 0.786 0.605
O 0.018 0.000 0.000
Sc 0.259 0.837 0.658
Se 0.595 0.605 0.214
Se 0.414 0.395 0.786
Se 0.200 0.214 0.395
Sc 0.096 0.658 0.163
Sc 0.754 0.163 0.342

Output
* calculated volume: 18.96 A^3/atom
* magnetization: 0.00 μB/cell
* electronic total energy: -68.05 eV/cell


ScSeO2: relaxed, PBE.

Lattice parameters (Å, degrees): 6.478 6.478 6.478 28.86 28.86 28.86
Sites, in units of the cell vectors:
Sc 0.500 0.500 0.500
O 0.112 0.112 0.112
Se 0.000 0.000 0.000
O 0.888 0.888 0.888

Output
* calculated volume: 14.00 A^3/atom
* magnetization: 0.00 μB/cell
* ΔE to the lowest computed polymorph: 0 meV per atom


Sc3Se3O: relaxed, PBE.

Lattice parameters (Å, degrees): 5.418 8.229 8.229 119.92 90.00 90.00
Sites, in units of the cell vectors:
Sc 0.250 0.381 0.191
Sc 0.750 0.190 0.381
Se 0.250 0.182 0.819
Sc 0.750 0.619 0.809
Se 0.750 0.364 0.183
Se 0.750 0.818 0.181
O 0.250 0.667 0.333
O 0.750 0.333 0.667
Se 0.250 0.636 0.817
Sc 0.750 0.191 0.810
Se 0.250 0.182 0.364
Sc 0.250 0.809 0.190
Se 0.750 0.818 0.636
Sc 0.250 0.810 0.619

Output
* calculated volume: 22.71 A^3/atom
* magnetization: 0.00 μB/cell
* electronic total energy: -96.49 eV/cell


ScSe3O: relaxed, PBE.

Lattice parameters (Å, degrees): 4.506 4.506 4.506 90.00 90.00 90.00
Sites, in units of the cell vectors:
O 0.000 0.000 0.000
Se 0.000 0.500 0.000
Se 0.000 0.000 0.500
Se 0.500 0.000 0.000
Sc 0.500 0.500 0.500

Output
* calculated volume: 18.30 A^3/atom
* magnetization: 0.00 μB/cell
* ΔE to the lowest computed polymorph: 0 meV per atom


ScSe2O8: relaxed, PBE.

Lattice parameters (Å, degrees): 6.789 5.633 5.633 120.00 90.00 90.00
Site moments in Bohr magnetons follow the coordinates.
Sites, in units of the cell vectors:
O 0.009 0.667 0.333  0.22
O 0.320 0.173 0.827  0.09
Se 0.234 0.333 0.667  -0.02
Se 0.766 0.667 0.333  -0.02
O 0.320 0.173 0.347  0.09
O 0.680 0.827 0.173  0.09
O 0.320 0.653 0.827  0.09
O 0.991 0.333 0.667  0.22
O 0.680 0.347 0.173  0.09
Sc 0.500 0.000 0.000  -0.02
O 0.680 0.827 0.653  0.09

Output
* calculated volume: 16.96 A^3/atom
* magnetization: 1.09 μB/cell
* electronic total energy: -65.09 eV/cell


Sc3SeO7: relaxed, PBE.

Lattice parameters (Å, degrees): 6.125 6.125 7.086 90.00 90.00 108.18
Sites, in units of the cell vectors:
O 0.944 0.686 0.463
O 0.932 0.068 0.250
O 0.068 0.932 0.750
O 0.056 0.314 0.963
Se 0.008 0.008 0.000
O 0.339 0.083 0.475
O 0.083 0.339 0.525
O 0.354 0.646 0.750
Sc 0.000 0.533 0.744
Se 0.992 0.992 0.500
Sc 0.000 0.467 0.244
Sc 0.533 0.000 0.256
O 0.917 0.661 0.025
Sc 0.544 0.544 0.000
Sc 0.467 0.000 0.756
Sc 0.456 0.456 0.500
O 0.628 0.372 0.750
O 0.646 0.354 0.250
O 0.372 0.628 0.250
O 0.314 0.056 0.037
O 0.686 0.944 0.537
O 0.661 0.917 0.975

Output
* calculated volume: 11.48 A^3/atom
* magnetization: 0.00 μB/cell
* electronic total energy: -169.53 eV/cell


ScSeO2: relaxed, PBE.

Lattice parameters (Å, degrees): 5.415 5.415 6.006 63.21 63.21 90.00
Sites, in units of the cell vectors:
Se 0.000 0.000 0.000
O 0.375 0.462 0.750
Sc 0.500 0.500 0.000
O 0.875 0.788 0.750
Sc 0.250 0.750 0.500
Se 0.750 0.250 0.500
O 0.538 0.125 0.250
O 0.212 0.625 0.250

Output
* calculated volume: 16.96 A^3/atom
* magnetization: 0.00 μB/cell
* ΔE to the lowest computed polymorph: 628 meV per atom


ScSeO2: relaxed, PBE.

Lattice parameters (Å, degrees): 5.767 5.767 5.767 37.26 37.26 37.26
Sites, in units of the cell vectors:
O 0.123 0.123 0.123
Se 0.500 0.500 0.500
O 0.877 0.877 0.877
Sc 0.000 0.000 0.000

Output
* calculated volume: 15.75 A^3/atom
* magnetization: 0.00 μB/cell
* ΔE to the lowest computed polymorph: 1438 meV per atom